1.
Cs2NiAuO4: relaxed, PBE with a Hubbard U.

The raw total energy is -4.28 eV per atom.

It has space group Fddd (No. 70, origin choice 2), with a = 5.786 Å, b = 14.207 Å, c = 20.265 Å, α = 90.00°, β = 90.00° and γ = 90.00°. The asymmetric unit holds Cs at (0.125, 0.125, 0.293), Ni at (0.125, 0.125, 0.125), Au at (0.125, 0.125, 0.625) and O at (0.102, 0.285, 0.376).

=====

2.
CsNi2AuO: relaxed, PBE with a Hubbard U.

The calculation puts the energy above the lowest structure with this stoichiometry at 283 meV per atom.

It has space group P4/mmm (No. 123), with a = 5.029 Å, b = 5.029 Å, c = 4.491 Å, α = 90.00°, β = 90.00° and γ = 90.00°. The asymmetric unit holds Cs at (0.000, 0.000, 0.000), Ni at (0.000, 0.500, 0.500), Au at (0.500, 0.500, 0.500) and O at (0.500, 0.500, 0.000).

=====

3.
CsNi2AuO: relaxed, PBE with a Hubbard U.

The calculation puts the energy above the lowest structure with this stoichiometry at 0 meV per atom.

It has space group P4/mmm (No. 123), with a = 4.279 Å, b = 4.279 Å, c = 5.653 Å, α = 90.00°, β = 90.00° and γ = 90.00°. The asymmetric unit holds Cs at (0.000, 0.000, 0.000), Ni at (0.000, 0.500, 0.500), Au at (0.500, 0.500, 0.000) and O at (0.000, 0.000, 0.500).